Material: Li3VO3F2
Method: DFT, PBE with a Hubbard U
State: optimized geometry

Computed properties:
E = -5.89 eV per atom
Energy above the lowest structure with this stoichiometry = 5 meV per atom
Size of the total moment = 0.00 Bohr magnetons per cell
Density = 2.51 g/cm³

Unit cell a=9.041 b=5.749 c=8.092 alpha=90.00 beta=96.77 gamma=90.00
Space group Cc (No. 9)
Unique sites:
Li  0.000  0.162  0.000
Li  0.197  0.184  0.363
Li  0.387  0.174  0.806
V  0.088  0.327  0.679
O  0.002  0.188  0.506
O  0.080  0.372  0.188
O  0.169  0.161  0.843
F  0.282  0.316  0.586
F  0.402  0.172  0.301